1.
## Li2Ge4Os (PBE)

Data for crystalline Li2Ge4Os at its relaxed geometry.

```
Li2Ge4Os
1.0
-2.4807 -1.0144 -3.9144
-1.7668 -3.8588 2.1197
-7.1555 1.1136 1.3715
Li Ge Os
2 4 1
Cartesian
-3.3095 -1.6000 -0.3627
-8.0935 -2.1596 -0.0605
-1.2404 -0.5072 -1.9572
-6.2165 -3.4840 -0.9069
-0.8834 -1.9294 1.0599
-5.1866 -0.2756 0.4837
0.0000 0.0000 0.0000
```

## Properties
**ΔE_f**: 0.247 eV per atom
**Crystal system**: tetragonal

=====

2.
## CrRh2Au (PBE)

Data for crystalline CrRh2Au at its relaxed geometry.

```
CrRh2Au
1.0
-0.9317 -1.6354 -2.1380
-2.1600 -2.8502 3.1215
-5.1511 0.5372 1.8339
Cr Au Rh
1 1 2
Cartesian
-2.5755 0.2686 0.9169
-4.1214 -1.9742 1.4087
0.0000 0.0000 0.0000
-1.5458 -2.2428 0.4918
```

## Properties
**ΔE_f**: 0.120 eV per atom
**Crystal system**: monoclinic

=====

3.
## Dy6HoEr2Sc (PBE)

Data for crystalline Dy6HoEr2Sc at its relaxed geometry.

```
Dy6HoEr2Sc
1.0
8.9271 -1.9665 -2.0408
0.8065 8.3940 -1.9397
0.8065 -2.2495 8.3163
Er Ho Dy Sc
4 2 12 2
Cartesian
5.2503 4.2493 3.3135
5.2898 -0.0713 1.0223
9.7138 2.1705 3.3488
0.8262 2.0075 0.9870
3.0383 7.6570 -2.2135
7.5018 -3.4790 6.5493
5.6624 4.9635 -1.5549
4.8776 -0.7855 5.8907
8.3911 -0.1716 5.7641
2.1490 4.3496 -1.4283
9.3412 4.9325 -1.5870
2.0087 4.6033 2.4918
6.4722 1.3363 3.6721
6.6125 -2.5718 3.2733
3.9275 6.7498 1.0625
4.0679 2.8417 0.6637
1.1989 -0.7545 5.9228
8.5314 -0.4253 1.8440
3.0383 1.6607 3.5646
7.5018 2.5173 0.7713
```

## Properties
**ΔE_f**: 0.127 eV per atom
**Crystal system**: monoclinic

=====

4.
## BaRhC2 (PBE)

Data for crystalline BaRhC2 at its relaxed geometry.

```
BaRhC2
1.0
0.0000 3.1257 3.1257
3.1257 0.0000 3.1257
3.1257 3.1257 0.0000
Rh C Ba
1 2 1
Cartesian
0.0000 0.0000 0.0000
1.5629 1.5629 1.5629
4.6886 4.6886 4.6886
3.1257 3.1257 3.1257
```

## Properties
**ΔE_f**: 1.883 eV per atom
**Crystal system**: cubic
**Energy above the lowest structure with this stoichiometry**: 4.79 eV per formula unit

=====

5.
## Ho2S3O12 (PBE)

Data for crystalline Ho2S3O12 at its relaxed geometry.

```
Ho2S3O12
1.0
-5.6089 -3.3293 -6.9640
-4.2394 -8.5308 0.5423
-9.4351 -0.9162 1.0867
O S Ho
24 6 4
Cartesian
-10.1081 -5.5879 -6.3803
-12.6635 -9.5785 -5.1923
-10.5401 -2.3746 -1.1140
-14.4610 -7.4308 -3.8386
-13.3493 -9.8068 -2.1668
-11.5463 -6.6746 -4.7844
-8.7433 -10.4017 -4.2211
-7.7371 -6.1017 -0.5507
-5.9341 -2.9695 -3.1683
-4.8224 -5.3455 -1.4965
-12.2483 -4.8989 -0.2946
-8.4758 -9.9411 -1.8553
-7.0105 -5.8923 -3.6782
-12.2729 -6.8840 -1.6568
-12.3161 -7.0857 0.7516
-12.2020 -4.5501 -5.7328
-6.6199 -3.1978 -0.1427
-7.0813 -8.2261 0.3977
-10.8076 -2.8352 -3.4798
-6.9672 -5.6906 -6.0866
-10.4111 -9.1208 -3.0292
-8.8722 -3.6554 -2.3058
-9.1753 -7.1884 1.0452
-7.0351 -7.8773 -5.0404
-7.7642 -6.9400 0.6705
-6.5068 -6.4980 -4.9329
-9.4501 -10.2439 -2.9287
-9.8332 -2.5324 -2.4064
-12.7766 -6.2783 -0.4021
-11.5192 -5.8363 -6.0056
-6.8806 -4.5588 -1.9036
-12.4028 -8.2175 -3.4314
-2.7611 -1.8294 -0.7639
-16.5223 -10.9469 -4.5712
```

## Properties
**Crystal system**: trigonal
**Uncorrected energy**: -6.9420 eV/atom

=====

6.
## Tl5In5Hg (PBE)

Data for crystalline Tl5In5Hg at its relaxed geometry.

```
Tl5In5Hg
1.0
2.0556 5.3748 0.2339
-1.5644 1.0377 -10.0907
-6.4918 -0.5738 -0.6614
Tl In Hg
5 5 1
Cartesian
-3.5725 1.6434 -6.3619
-5.7038 2.3476 -3.8120
-2.4280 4.1952 -4.1563
-0.2967 3.4911 -6.7062
-0.7822 0.5188 -5.0454
-1.7033 3.7819 -1.0286
-4.2972 2.0568 -9.4896
1.0278 2.6874 0.1169
-2.7344 1.1578 -2.5698
-3.2661 4.6809 -7.9484
0.0000 0.0000 0.0000
```

## Properties
**ΔE_f**: 0.054 eV per atom
**Crystal system**: monoclinic
**Energy above the lowest structure with this stoichiometry**: 0.00 eV per formula unit